This record from Alexandria describes an optimized crystal structure of ReSnBi2P. The functional is PBE.

* size of the total moment: 3.44 μB per formula unit
* uncorrected energy: -0.3302 Ry/atom
* ρ: 8.8 Mg/m³
* DFT formation energy: 1431 meV/atom

```
data_ReSnBi2P
_cell_length_a 5.360
_cell_length_b 5.360
_cell_length_c 4.965
_cell_angle_alpha 90.00
_cell_angle_beta 90.00
_cell_angle_gamma 90.00
_space_group_name_H-M_alt 'P 4/m m m'
_space_group_IT_number 123
_space_group_name_Hall '-P 4 2'
loop_
_atom_site_label
_atom_site_fract_x
_atom_site_fract_y
_atom_site_fract_z
_atom_site_occupancy
Re1 0.000 0.000 0.000 1
Sn1 0.500 0.500 0.000 1
Bi1 0.000 0.500 0.500 1
P1 0.500 0.500 0.500 1
```



This record from Alexandria describes an optimized crystal structure of La2YIrS. The functional is PBE.

* size of the total moment: 0.00 μB per formula unit
* uncorrected energy: -0.4633 Ry/atom
* ρ: 6.7 Mg/m³

```
data_La2YIrS
_cell_length_a 5.393
_cell_length_b 5.393
_cell_length_c 4.999
_cell_angle_alpha 90.00
_cell_angle_beta 90.00
_cell_angle_gamma 90.00
_space_group_name_H-M_alt 'P 4/m m m'
_space_group_IT_number 123
_space_group_name_Hall '-P 4 2'
loop_
_atom_site_label
_atom_site_fract_x
_atom_site_fract_y
_atom_site_fract_z
_atom_site_occupancy
La1 0.000 0.500 0.000 1
Y1 0.000 0.000 0.500 1
Ir1 0.500 0.500 0.500 1
S1 0.000 0.000 0.000 1
```



This record from Alexandria describes an optimized crystal structure of Te3POs. The functional is PBE.

* size of the total moment: 0.00 μB per formula unit
* uncorrected energy: -0.2728 Ry/atom
* ρ: 8.0 Mg/m³
* energy relative to the lowest polymorph listed for this composition: 456 meV per atom

```
data_Te3POs
_cell_length_a 5.014
_cell_length_b 5.014
_cell_length_c 5.014
_cell_angle_alpha 90.00
_cell_angle_beta 90.00
_cell_angle_gamma 90.00
_space_group_name_H-M_alt 'P m -3 m'
_space_group_IT_number 221
_space_group_name_Hall '-P 4 2 3'
loop_
_atom_site_label
_atom_site_fract_x
_atom_site_fract_y
_atom_site_fract_z
_atom_site_occupancy
Te1 0.000 0.000 0.500 1
P1 0.000 0.000 0.000 1
Os1 0.500 0.500 0.500 1
```



This record from Alexandria describes an optimized crystal structure of Ga3BiB4O12. The functional is PBE.

* size of the total moment: 0.00 μB per formula unit
* uncorrected energy: -0.5156 Ry/atom
* ρ: 5.4 Mg/m³

```
data_Ga3BiB4O12
_cell_length_a 9.6073
_cell_length_b 9.6073
_cell_length_c 7.5943
_cell_angle_alpha 90.00
_cell_angle_beta 90.00
_cell_angle_gamma 120.00
_space_group_name_H-M_alt 'R 3 2'
_space_group_IT_number 155
_space_group_name_Hall 'R 3 2"'
loop_
_atom_site_label
_atom_site_fract_x
_atom_site_fract_y
_atom_site_fract_z
_atom_site_occupancy
Ga1 0.0000 0.5518 0.0000 1
Bi1 0.0000 0.0000 0.0000 1
B1 0.0000 0.0000 0.5000 1
B2 0.0000 0.4465 0.5000 1
O1 0.0000 0.5911 0.5000 1
O2 0.0000 0.8550 0.5000 1
O3 0.0271 0.2152 0.1863 1
```